[1]
The following is a DFT calculation (PBE) of crystalline MnIr3Os at its relaxed geometry.

abc: 4.735 4.735 4.735
angles: 90.00 90.00 90.00
Site moments in Bohr magnetons follow the coordinates.
Fractional coordinates of all 5 atoms:
Ir1 0.000 0.500 0.000  0.00
Ir2 0.000 0.000 0.500  -0.07
Ir3 0.500 0.000 0.000  0.07
Os1 0.000 0.000 0.000  0.03
Mn1 0.500 0.500 0.500  4.34

Output
energy relative to the elements = 1.725 eV per atom



[2]
The following is a DFT calculation (PBE) of crystalline TaReBI2 at its relaxed geometry.

abc: 4.883 4.082 4.883
angles: 90.00 90.00 90.00
Site moments in Bohr magnetons follow the coordinates.
Fractional coordinates of all 5 atoms:
I1 0.000 0.000 0.500  -0.01
I2 0.500 0.000 0.000  -0.01
Re1 0.000 0.500 0.000  -0.06
B1 0.000 0.000 0.000  0.00
Ta1 0.500 0.500 0.500  0.81

Output
energy relative to the elements, uncorrected = 1.74 eV per atom



[3]
The following is a DFT calculation (PBE) of crystalline PmHo3Bi2 at its relaxed geometry.

abc: 4.573 4.573 8.646
angles: 90.00 90.00 90.00
Fractional coordinates of all 6 atoms:
Pm1 0.500 0.500 0.000
Ho1 0.500 0.000 0.345
Ho2 0.000 0.500 0.655
Ho3 0.000 0.000 0.000
Bi1 0.500 0.000 0.712
Bi2 0.000 0.500 0.288

Output
energy relative to the elements = -0.574 eV per atom



[4]
The following is a DFT calculation (PBE) of crystalline CaAcAs2 at its relaxed geometry.

abc: 3.927 5.267 5.267
angles: 90.00 90.00 90.00
Fractional coordinates of all 4 atoms:
Ac1 0.500 0.500 0.500
Ca1 0.500 0.000 0.000
As1 0.000 0.000 0.500
As2 0.000 0.500 0.000

Output
energy relative to the elements = -0.990 eV per atom



[5]
The following is a DFT calculation (PBE) of crystalline CrGa2Au at its relaxed geometry.

abc: 2.948 2.948 7.234
angles: 90.00 90.00 90.00
Site moments in Bohr magnetons follow the coordinates.
Fractional coordinates of all 4 atoms:
Cr1 0.500 0.500 0.000  2.46
Au1 0.500 0.500 0.500  -0.01
Ga1 0.000 0.000 0.776  -0.03
Ga2 0.000 0.000 0.224  -0.03

Output
energy relative to the elements = 0.002 eV per atom



[6]
The following is a DFT calculation (PBE) of crystalline PHWCl2 at its relaxed geometry.

abc: 4.722 4.722 3.171
angles: 90.00 90.00 90.00
Fractional coordinates of all 5 atoms:
P1 0.000 0.000 0.500
H1 0.000 0.000 0.000
W1 0.500 0.500 0.500
Cl1 0.000 0.500 0.000
Cl2 0.500 0.000 0.000



| no. | DFT total energy (eV per atom) | relative energy among the computed polymorphs (eV/atom) | Fermi-level density of states (states/eV/f.u.) |
| --- | --- | --- | --- |
| 1 | -7.6713 | 0.0000 | 5.788 |
| 2 | -5.0789 | 0.0000 | 4.516 |
| 3 | -4.9481 | 0.0000 | 4.562 |
| 4 | -4.8418 | 0.1422 | 2.914 |
| 5 | -4.7369 | 0.0374 | 1.538 |
| 6 | -3.9688 | 0.6236 | 4.717 |